[1]
Material: SrHf2Ge2
Method: DFT, PBE
State: optimized geometry

a = 6.1920 Å, b = 6.1920 Å, c = 6.1920 Å
α = 131.33°, β = 131.33°, γ = 71.29°
With the nearest neighbours (Å) after each atom.
Atoms (fractional coordinates):
Sr 0.0000 0.0000 0.0000  2 Hf 3.33, 8 Ge 3.58
Hf 0.3312 0.3312 0.0000  4 Ge 2.68
Hf 0.6688 0.6688 0.0000  4 Ge 2.68
Ge 0.2500 0.7500 0.5000  4 Hf 2.68
Ge 0.7500 0.2500 0.5000  4 Hf 2.68

Values from the calculation:
N(E_F) (states/eV per atom): 0.60
M_tot (μB per cell): 0.000
Polymorph energy (0 for the lowest one) (meV per atom): 62
Formation energy (eV per formula unit): -0.92



[2]
Material: Sr2HfGe
Method: DFT, PBE
State: optimized geometry

a = 8.3641 Å, b = 8.3641 Å, c = 8.3641 Å
α = 95.62°, β = 95.62°, γ = 143.54°
With the nearest neighbours (Å) after each atom.
Atoms (fractional coordinates):
Sr 0.3750 0.2303 0.3553  2 Ge 3.12
Sr 0.7697 0.1250 0.1447  2 Ge 3.12
Sr 0.8750 0.0197 0.6447  2 Ge 3.12
Sr 0.9803 0.6250 0.8553  2 Ge 3.12
Hf 0.2500 0.7500 0.5000  2 Ge 2.62
Hf 0.5000 0.5000 0.0000  2 Ge 2.62
Ge 0.0000 0.0000 0.0000  2 Hf 2.62
Ge 0.7500 0.2500 0.5000  2 Hf 2.62

Values from the calculation:
N(E_F) (states/eV per atom): 0.59
M_tot (μB per cell): 0.001
Formation energy (eV per formula unit): 1.30



[3]
Material: SrHfGe3
Method: DFT, PBE
State: optimized geometry

a = 5.1838 Å, b = 5.1838 Å, c = 5.1838 Å
α = 90.00°, β = 90.00°, γ = 90.00°
With the nearest neighbours (Å) after each atom.
Atoms (fractional coordinates):
Sr 0.0000 0.0000 0.0000  12 Ge 3.67
Hf 0.5000 0.5000 0.5000  6 Ge 2.59
Ge 0.0000 0.5000 0.5000  2 Hf 2.59
Ge 0.5000 0.0000 0.5000  2 Hf 2.59
Ge 0.5000 0.5000 0.0000  2 Hf 2.59

Values from the calculation:
N(E_F) (states/eV per atom): 0.43
M_tot (μB per cell): 0.000
Formation energy (eV per formula unit): -0.97



[4]
Material: SrHfGe3
Method: DFT, PBE
State: optimized geometry

a = 5.2755 Å, b = 5.2755 Å, c = 5.2755 Å
α = 90.00°, β = 90.00°, γ = 90.00°
With the nearest neighbours (Å) after each atom.
Atoms (fractional coordinates):
Sr 0.0000 0.0000 0.0000  6 Ge 2.64
Hf 0.5000 0.5000 0.5000  12 Ge 3.73
Ge 0.0000 0.0000 0.5000  2 Sr 2.64
Ge 0.0000 0.5000 0.0000  2 Sr 2.64
Ge 0.5000 0.0000 0.0000  2 Sr 2.64

Values from the calculation:
N(E_F) (states/eV per atom): 0.53
M_tot (μB per cell): 0.000
Formation energy (eV per formula unit): 6.98



- What is the M_tot in the fourth record?
  0.000 μB per cell



- The highest formation energy belongs to which entry?
  number 4